1 | The following is a DFT calculation (GGA-PBE) of a relaxed structure of CoNiMo.

Calculated values
density of states at the Fermi level = 1.405 states/eV/atom

Unit cell a=4.098 b=4.098 c=2.567 alpha=90.00 beta=90.00 gamma=120.00
Last column: magnetic moment on the atom in μB.
Element x y z (fractional)
Ni  0.333  0.667  0.834  0.32
Co  0.000  0.000  0.833  1.19
Mo  0.667  0.333  0.334  -0.08

=====

2 | The following is a DFT calculation (GGA-PBE) of a relaxed structure of CoNiMo.

Calculated values
density of states at the Fermi level = 0.528 states/eV/atom

Unit cell a=4.042 b=4.061 c=6.143 alpha=70.97 beta=90.00 gamma=119.84
Element x y z (fractional)
Co  0.916  0.832  0.748
Co  0.084  0.168  0.252
Mo  0.780  0.561  0.163
Mo  0.220  0.439  0.837
Ni  0.634  0.268  0.595
Ni  0.366  0.732  0.405

=====

3 | The following is a DFT calculation (GGA-PBE) of a relaxed structure of CoNiMo.

Calculated values
density of states at the Fermi level = 1.387 states/eV/atom

Unit cell a=3.971 b=3.971 c=3.971 alpha=60.00 beta=60.00 gamma=60.00
Element x y z (fractional)
Ni  0.000  0.000  0.000
Co  0.500  0.500  0.500
Mo  0.750  0.750  0.750

=====

Verdict on stability: 1 comes out on top.